# 1
{"formula": "CaSc2Hg", "functional": "GGA-PBE", "state": "optimized geometry", "total_energy_ev_per_cell": -15.18, "e_form_ev_per_atom": -0.05, "crystal_system": "monoclinic", "dos_at_fermi_per_ev_cell": 4.220, "cell": [[4.977, 0.000, 0.000], [0.000, 3.542, -0.004], [0.000, 1.661, 6.031]], "species": ["Hg", "Sc", "Sc", "Ca"], "fractional_positions": [[0.500, 0.750, 0.750], [0.000, 0.586, 0.533], [0.000, 0.914, 0.967], [0.500, 0.250, 0.250]]}



# 2
{"formula": "CaScHg6", "functional": "GGA-PBE", "state": "optimized geometry", "total_energy_ev_per_cell": -12.36, "e_form_ev_per_atom": -0.28, "crystal_system": "tetragonal", "dos_at_fermi_per_ev_cell": 5.022, "cell": [[4.623, 0.000, 0.000], [0.000, 4.623, 0.000], [0.000, 0.000, 8.985]], "species": ["Sc", "Hg", "Hg", "Hg", "Hg", "Hg", "Hg", "Ca"], "fractional_positions": [[0.000, 0.000, 0.500], [0.500, 0.500, 0.500], [0.500, 0.000, 0.738], [0.500, 0.000, 0.262], [0.500, 0.500, 0.000], [0.000, 0.500, 0.262], [0.000, 0.500, 0.738], [0.000, 0.000, 0.000]]}



# 3
{"formula": "CaScHg2", "functional": "GGA-PBE", "state": "optimized geometry", "total_energy_ev_per_cell": -7.90, "e_form_ev_per_atom": 0.26, "crystal_system": "orthorhombic", "dos_at_fermi_per_ev_cell": 5.347, "cell": [[6.002, -1.825, -3.200], [-1.723, 6.032, 3.200], [-4.314, 0.108, 5.566]], "species": ["Hg", "Hg", "Ca", "Sc"], "fractional_positions": [[0.000, 0.264, 0.264], [0.000, 0.736, 0.736], [0.000, 0.000, 0.000], [0.000, 0.500, 0.500]]}